The following is a PBE calculation of a relaxed structure of TbSiH2O4, from the Open Quantum Materials Database.

abc: 6.1920 5.7486 7.1595
angles: 56.05 50.37 73.58
Closest atoms and distances in Å follow each position.
Sites, in units of the cell vectors:
Tb  0.0000  0.0000  0.0000  8 O 2.42-2.61
Tb  0.2500  0.2500  0.2500  8 O 2.42-2.61
Si  0.4795  0.4795  0.5205  4 O 1.63-1.69
Si  0.7295  0.7295  0.7705  4 O 1.63-1.69
H  0.1058  0.6366  0.4430  1 O 1.04
H  0.4354  0.8070  0.6134  1 O 1.04
H  0.6366  0.1058  0.8146  1 O 1.04
H  0.8070  0.4354  0.1442  1 O 1.04
O  0.2709  0.3816  0.5057  1 H 1.55, 1 Si 1.63
O  0.3816  0.2709  0.8418  1 H 1.55, 1 Si 1.63
O  0.4082  0.7443  0.8684  1 H 1.55, 1 Si 1.63
O  0.4811  0.8166  0.4415  1 H 1.04
O  0.7443  0.4082  0.9791  1 H 1.55, 1 Si 1.63
O  0.8085  0.9892  0.7689  1 H 1.04
O  0.8166  0.4811  0.2608  1 H 1.04
O  0.9892  0.8085  0.4334  1 H 1.04

Properties
symmetry	Fdd2 (43)
total magnetic moment	0.9	μB/f.u.
polymorph energy (0 for the lowest one)	0	meV per atom